Record 1
Entry from OQMD: a relaxed structure of ErTmS2 (PBE).

abc: 6.6593 3.8593 6.6525
angles: 90.00 109.63 90.00
Last column: nearest neighbours and their distance in Å.
Fractional coordinates of all 8 atoms:
Er 0.0000 0.0000 0.0000  6 S 2.73
Er 0.5000 0.5000 0.0000  6 S 2.73
Tm 0.0000 0.5000 0.5000  6 S 2.71
Tm 0.5000 0.0000 0.5000  6 S 2.71
S 0.2493 0.0000 0.7478  3 Tm 2.71, 3 Er 2.73
S 0.2507 0.5000 0.2522  3 Tm 2.71, 3 Er 2.73
S 0.7493 0.5000 0.7478  3 Tm 2.71, 3 Er 2.73
S 0.7507 0.0000 0.2522  3 Tm 2.71, 3 Er 2.73

Output
Its theoretical density is 8256 kg/m³. The calculation puts the total DFT energy (no corrections) at -6.2634 eV/atom. The crystal system is monoclinic.

***

Record 2
Entry from OQMD: a relaxed structure of Er3Tm5S (PBE).

abc: 8.8944 8.8944 3.6845
angles: 90.00 90.00 120.00
Last column: nearest neighbours and their distance in Å.
Fractional coordinates of all 9 atoms:
Er 0.0000 0.2459 0.0000  2 S 2.86
Er 0.2459 0.0000 0.0000  2 S 2.86
Er 0.7541 0.7541 0.0000  2 S 2.86
Tm 0.0000 0.6017 0.5000  4 Tm 3.29, 1 S 3.54, 6 Er 3.60-3.66
Tm 0.3333 0.6667 0.0000  6 Tm 3.29, 3 Er 3.42
Tm 0.3983 0.3983 0.5000  4 Tm 3.29, 1 S 3.54, 6 Er 3.60-3.66
Tm 0.6017 0.0000 0.5000  4 Tm 3.29, 1 S 3.54, 6 Er 3.60-3.66
Tm 0.6667 0.3333 0.0000  6 Tm 3.29, 3 Er 3.42
S 0.0000 0.0000 0.5000  6 Er 2.86

Output
Its theoretical density is 9068 kg/m³. The calculation puts the total DFT energy (no corrections) at -4.8404 eV/atom. The crystal system is hexagonal.

***

Record 3
Entry from OQMD: a relaxed structure of ErTmS2 (PBE).

abc: 3.8466 3.8466 5.4429
angles: 90.00 90.00 90.00
Last column: nearest neighbours and their distance in Å.
Fractional coordinates of all 4 atoms:
Er 0.0000 0.0000 0.0000  6 S 2.72
Tm 0.5000 0.5000 0.5000  6 S 2.72
S 0.0000 0.0000 0.5000  4 Tm 2.72, 2 Er 2.72
S 0.5000 0.5000 0.0000  4 Er 2.72, 2 Tm 2.72

Output
Its theoretical density is 8254 kg/m³. The calculation puts the total DFT energy (no corrections) at -6.2629 eV/atom. The crystal system is tetragonal.

***

Record 4
Entry from OQMD: a relaxed structure of Er2Tm6S (PBE).

abc: 8.8690 8.8690 3.6865
angles: 90.00 90.00 120.00
Last column: nearest neighbours and their distance in Å.
Fractional coordinates of all 9 atoms:
Er 0.3333 0.6667 0.0000  9 Tm 3.28-3.42
Er 0.6667 0.3333 0.0000  9 Tm 3.28-3.42
Tm 0.0000 0.2451 0.0000  2 S 2.85
Tm 0.0000 0.6020 0.5000  4 Er 3.28, 1 S 3.53, 6 Tm 3.59-3.66
Tm 0.2451 0.0000 0.0000  2 S 2.85
Tm 0.3980 0.3980 0.5000  4 Er 3.28, 1 S 3.53, 6 Tm 3.59-3.66
Tm 0.6020 0.0000 0.5000  4 Er 3.28, 1 S 3.53, 6 Tm 3.59-3.66
Tm 0.7549 0.7549 0.0000  2 S 2.85
S 0.0000 0.0000 0.5000  6 Tm 2.85

Output
Its theoretical density is 9126 kg/m³. The calculation puts the total DFT energy (no corrections) at -4.8283 eV/atom. The crystal system is hexagonal.